Entry 1:
# CaLa2Pr6Mg

Crystalline CaLa2Pr6Mg at its relaxed geometry (PBE, the Alexandria database).

Unit cell a=12.3681 b=9.6750 c=12.5500 alpha=90.00 beta=105.98 gamma=90.00
With the nearest neighbours (Å) after each atom.
Space group C2/c (No. 15)
Inequivalent atoms, fractional coordinates:
Ca 0.0000 0.1813 0.2500  1 Mg 3.32
La 0.2164 0.4311 0.1939  8 Pr 3.50-3.89, 1 Mg 3.50, 1 Ca 3.81
Pr 0.0771 0.4513 0.9011  1 Mg 3.37, 6 Pr 3.47-3.75, 3 La 3.61-3.67
Pr 0.1345 0.1035 0.0237  5 Pr 3.41-3.79, 1 Mg 3.43, 2 La 3.71-3.80, 1 Ca 3.74
Pr 0.1442 0.2456 0.5638  1 Mg 3.40, 5 Pr 3.41-3.59, 2 La 3.50-3.53
Mg 0.0000 0.1623 0.7500  1 Ca 3.32, 6 Pr 3.37-3.43, 2 La 3.50

Values from the calculation:
For the total energy, the calculation gives -0.3034 Ry per atom. For the total magnetization, the calculation gives 0.0 μB per cell.



Entry 2:
# Ca2LaMgPt

Crystalline Ca2LaMgPt at its relaxed geometry (PBE, the Alexandria database).

Unit cell a=5.6469 b=5.6469 c=5.5671 alpha=90.00 beta=90.00 gamma=90.00
With the nearest neighbours (Å) after each atom.
Space group P4/mmm (No. 123)
Inequivalent atoms, fractional coordinates:
Ca 0.0000 0.5000 0.0000  2 Pt 2.82
La 0.0000 0.0000 0.5000  2 Pt 2.78
Mg 0.5000 0.5000 0.5000  8 Ca 3.96, 4 La 3.99
Pt 0.0000 0.0000 0.0000  2 La 2.78, 4 Ca 2.82

Values from the calculation:
For the total energy, the calculation gives -0.2750 Ry per atom. Its energy above the most stable polymorph in this dataset is 0.000 eV per atom. For the total magnetization, the calculation gives 0.0 μB per cell.



Entry 3:
# Ca2LaMgPt

Crystalline Ca2LaMgPt at its relaxed geometry (PBE, the Alexandria database).

Unit cell a=6.0622 b=6.0622 c=5.1081 alpha=90.00 beta=90.00 gamma=90.00
With the nearest neighbours (Å) after each atom.
Space group P4/mmm (No. 123)
Inequivalent atoms, fractional coordinates:
Ca 0.0000 0.5000 0.0000  2 La 3.03
La 0.0000 0.0000 0.0000  2 Pt 2.55
Mg 0.5000 0.5000 0.5000  8 Ca 3.96, 4 Pt 4.29
Pt 0.0000 0.0000 0.5000  2 La 2.55

Values from the calculation:
For the total energy, the calculation gives -0.2026 Ry per atom. Its energy above the most stable polymorph in this dataset is 0.984 eV per atom. For the total magnetization, the calculation gives 0.3 μB per cell.



Entry 4:
# CaLaMg2Rh

Crystalline CaLaMg2Rh at its relaxed geometry (PBE, the Alexandria database).

Unit cell a=5.1247 b=5.1247 c=5.2341 alpha=90.00 beta=90.00 gamma=90.00
With the nearest neighbours (Å) after each atom.
Space group P4/mmm (No. 123)
Inequivalent atoms, fractional coordinates:
Ca 0.0000 0.0000 0.0000  2 Rh 2.62
La 0.5000 0.5000 0.0000  4 Ca 3.62, 8 Mg 3.66
Mg 0.0000 0.5000 0.5000  2 Rh 2.56
Rh 0.0000 0.0000 0.5000  4 Mg 2.56, 2 Ca 2.62

Values from the calculation:
For the total energy, the calculation gives -0.2681 Ry per atom. Its energy above the most stable polymorph in this dataset is 0.144 eV per atom. For the total magnetization, the calculation gives 0.0 μB per cell.